Sc2MoSe, relaxed, DFT PBEsol; raw formation energy = -0.22 eV per atom
1.0
3.6221 0.0000 0.0000
0.0000 3.6221 0.0000
0.0000 0.0000 5.7335
Sc Se Mo
2 1 1
Direct
0.5000 0.5000 0.2805 Sc
0.0000 0.0000 0.9608 Sc
0.0000 0.0000 0.4568 Se
0.5000 0.5000 0.8020 Mo